# 1
DFT (PBE) results for an optimized crystal structure of Pm4NdTm2Sc.

Results
ρ = 7.18 g/cm3
SG = Pmmm, No. 47
size of the total moment = 0.00 μB per cell

Unit cell a=5.065 b=11.218 c=5.044 alpha=63.27 beta=90.00 gamma=90.00
Element x y z (fractional)
1 Pm 0.000 0.749 0.750
2 Pm 0.000 0.251 0.250
3 Pm 0.500 0.750 0.250
4 Pm 0.500 0.250 0.750
5 Nd 0.500 0.500 0.000
6 Tm 0.000 0.000 0.000
7 Tm 0.500 0.000 0.500
8 Sc 0.000 0.500 0.500

=====

# 2
DFT (PBE) results for an optimized crystal structure of Pm3NdTmSc.

Results
ρ = 6.84 g/cm3
SG = P2_1/m, No. 11
size of the total moment = 0.00 μB per cell

Unit cell a=5.075 b=7.925 c=10.660 alpha=116.00 beta=90.00 gamma=90.00
Element x y z (fractional)
1 Pm 0.750 0.873 0.045
2 Pm 0.250 0.127 0.955
3 Pm 0.250 0.635 0.458
4 Pm 0.750 0.365 0.542
5 Pm 0.750 0.383 0.209
6 Pm 0.250 0.617 0.791
7 Nd 0.250 0.121 0.296
8 Nd 0.750 0.879 0.704
9 Tm 0.250 0.627 0.127
10 Tm 0.750 0.373 0.873
11 Sc 0.250 0.122 0.623
12 Sc 0.750 0.878 0.377

=====

# 3
DFT (PBE) results for an optimized crystal structure of PmNdTmSc.

Results
ρ = 6.73 g/cm3
SG = F-43m, No. 216
energy above the lowest structure with this stoichiometry = 0.000 eV/atom
size of the total moment = 0.00 μB per cell

Unit cell a=5.598 b=5.598 c=5.598 alpha=60.00 beta=60.00 gamma=60.00
Element x y z (fractional)
1 Sc 0.750 0.750 0.750
2 Tm 0.250 0.250 0.250
3 Nd 0.000 0.000 0.000
4 Pm 0.500 0.500 0.500

=====

The energy relative to the elements results, record by record, are as follows: 0.0257; 0.0442; 0.0910 eV/atom.